#w
The following is a DFT calculation (PBE-GGA) of Ba2Cr2B after structural relaxation.

Geometry as POSCAR:
```
Ba2Cr2B
1.0
8.480 0.000 0.000
0.000 8.480 0.000
0.000 0.000 4.753
Cr B Ba
4 2 4
Direct
0.073 0.573 0.500 Cr
0.573 0.927 0.500 Cr
0.927 0.427 0.500 Cr
0.427 0.073 0.500 Cr
0.000 0.000 0.000 B
0.500 0.500 0.000 B
0.299 0.799 0.000 Ba
0.799 0.701 0.000 Ba
0.701 0.201 0.000 Ba
0.201 0.299 0.000 Ba
```



#x
The following is a DFT calculation (PBE-GGA) of Ba2Cr2B after structural relaxation.

Geometry as POSCAR:
```
Ba2Cr2B
1.0
3.341 0.000 0.000
0.000 3.341 0.000
1.670 1.670 10.294
Cr B Ba
2 1 2
Direct
0.750 0.250 0.500 Cr
0.250 0.750 0.500 Cr
0.000 0.000 0.000 B
0.407 0.407 0.187 Ba
0.593 0.593 0.813 Ba
```



#x wins, 477 meV/atom ahead of the next structure.



#w
The following is a DFT calculation (PBE-GGA) of BaCrBRh2 after structural relaxation.

Geometry as POSCAR:
```
BaCrBRh2
1.0
-0.981 5.001 -0.049
-2.169 -0.384 4.316
4.450 0.896 2.316
Cr B Rh Ba
1 1 2 1
Direct
0.500 0.500 0.500 Cr
0.000 0.500 0.000 B
0.000 0.000 0.500 Rh
0.500 0.000 0.000 Rh
0.000 0.000 0.000 Ba
```



#x
The following is a DFT calculation (PBE-GGA) of BaCrBRh2 after structural relaxation.

Geometry as POSCAR:
```
BaCrBRh2
1.0
5.055 0.000 0.000
0.000 5.567 0.000
0.000 0.000 5.055
Cr B Rh Ba
1 1 2 1
Direct
0.000 0.500 0.000 Cr
0.500 0.500 0.500 B
0.000 0.000 0.500 Rh
0.500 0.000 0.000 Rh
0.000 0.000 0.000 Ba
```



#w wins, 343 meV/atom ahead of the next structure.



#w
The following is a DFT calculation (PBE-GGA) of CsBaB2 after structural relaxation.

Geometry as POSCAR:
```
CsBaB2
1.0
4.703 -2.488 0.886
2.465 0.512 4.770
0.236 -4.198 3.378
Cs B Ba
1 2 1
Direct
0.000 0.000 0.000 Cs
0.250 0.250 0.250 B
0.750 0.750 0.750 B
0.500 0.500 0.500 Ba
```



#x
The following is a DFT calculation (PBE-GGA) of CsBaB2 after structural relaxation.

Geometry as POSCAR:
```
CsBaB2
1.0
8.528 0.000 0.000
0.000 8.528 0.000
4.264 4.264 3.842
Cs B Ba
2 4 2
Direct
0.500 0.500 0.000 Cs
0.250 0.750 0.500 Cs
0.675 0.125 0.250 B
0.075 0.625 0.250 B
0.375 0.325 0.750 B
0.875 0.925 0.750 B
0.000 0.000 0.000 Ba
0.750 0.250 0.500 Ba
```



#w wins, 189 meV/atom ahead of the next structure.



#w
The following is a DFT calculation (PBE-GGA) of BaCuB3 after structural relaxation.

Geometry as POSCAR:
```
BaCuB3
1.0
-2.848 -4.082 -0.377
3.321 -2.028 -3.127
2.404 -2.035 3.873
B Ba Cu
3 1 1
Direct
0.000 0.500 0.000 B
0.000 0.000 0.500 B
0.500 0.000 0.000 B
0.000 0.000 0.000 Ba
0.500 0.500 0.500 Cu
```



#x
The following is a DFT calculation (PBE-GGA) of BaCuB3 after structural relaxation.

Geometry as POSCAR:
```
BaCuB3
1.0
4.243 0.000 0.000
0.000 4.243 0.000
0.000 0.000 4.243
B Ba Cu
3 1 1
Direct
0.000 0.500 0.000 B
0.000 0.000 0.500 B
0.500 0.000 0.000 B
0.500 0.500 0.500 Ba
0.000 0.000 0.000 Cu
```



#x wins, 1813 meV/atom ahead of the next structure.



#w
The following is a DFT calculation (PBE-GGA) of BaBF2 after structural relaxation.

Geometry as POSCAR:
```
BaBF2
1.0
2.532 0.000 5.758
-1.266 2.193 5.758
-1.266 -2.193 5.758
B Ba F
1 1 2
Direct
0.000 0.000 0.000 B
0.500 0.500 0.500 Ba
0.879 0.879 0.879 F
0.121 0.121 0.121 F
```



#x
The following is a DFT calculation (PBE-GGA) of BaBF2 after structural relaxation.

Geometry as POSCAR:
```
BaBF2
1.0
-4.392 -0.380 1.349
-2.150 3.611 1.894
-3.325 2.185 -2.330
B Ba F
1 1 2
Direct
0.000 0.000 0.000 B
0.500 0.500 0.500 Ba
0.250 0.250 0.250 F
0.750 0.750 0.750 F
```



#y
The following is a DFT calculation (PBE-GGA) of BaBF2 after structural relaxation.

Geometry as POSCAR:
```
BaBF2
1.0
-2.821 3.056 -2.119
-3.639 -2.816 0.783
-4.499 3.642 6.101
B Ba F
2 2 4
Direct
0.500 0.500 0.000 B
0.250 0.750 0.500 B
0.000 0.000 0.000 Ba
0.750 0.250 0.500 Ba
0.608 0.125 0.250 F
0.142 0.625 0.250 F
0.375 0.392 0.750 F
0.875 0.858 0.750 F
```



#w wins, 135 meV/atom ahead of the next structure.



#w
The following is a DFT calculation (PBE-GGA) of BaBF3 after structural relaxation.

Geometry as POSCAR:
```
BaBF3
1.0
-1.450 0.690 4.815
-3.213 -3.908 -0.407
3.652 -3.164 1.553
B Ba F
1 1 3
Direct
0.500 0.500 0.500 B
0.000 0.000 0.000 Ba
0.000 0.500 0.000 F
0.000 0.000 0.500 F
0.500 0.000 0.000 F
```



#x
The following is a DFT calculation (PBE-GGA) of BaBF3 after structural relaxation.

Geometry as POSCAR:
```
BaBF3
1.0
4.253 0.000 0.000
0.000 4.253 0.000
0.000 0.000 4.253
B Ba F
1 1 3
Direct
0.000 0.000 0.000 B
0.500 0.500 0.500 Ba
0.000 0.500 0.000 F
0.000 0.000 0.500 F
0.500 0.000 0.000 F
```



#x wins, 464 meV/atom ahead of the next structure.



#w
The following is a DFT calculation (PBE-GGA) of BaBOF2 after structural relaxation.

Geometry as POSCAR:
```
BaBOF2
1.0
-2.441 0.042 -3.842
-1.869 -3.989 1.144
-2.361 1.541 1.516
B Ba O F
1 1 1 2
Direct
0.000 0.000 0.000 B
0.500 0.500 0.500 Ba
0.000 0.000 0.500 O
0.000 0.500 0.000 F
0.500 0.000 0.000 F
```



#x
The following is a DFT calculation (PBE-GGA) of BaBOF2 after structural relaxation.

Geometry as POSCAR:
```
BaBOF2
1.0
-0.674 4.101 -2.847
-3.953 -2.193 -2.223
-2.764 1.756 3.183
B Ba O F
1 1 1 2
Direct
0.500 0.500 0.500 B
0.000 0.000 0.000 Ba
0.000 0.000 0.500 O
0.000 0.500 0.000 F
0.500 0.000 0.000 F
```



#w wins, 1256 meV/atom ahead of the next structure.



#w
The following is a DFT calculation (PBE-GGA) of BaFeB3 after structural relaxation.

Geometry as POSCAR:
```
BaFeB3
1.0
-0.079 -1.440 -3.806
-1.258 -3.612 1.392
-3.870 1.203 -0.375
B Ba Fe
3 1 1
Direct
0.000 0.500 0.000 B
0.000 0.000 0.500 B
0.500 0.000 0.000 B
0.500 0.500 0.500 Ba
0.000 0.000 0.000 Fe
```



#x
The following is a DFT calculation (PBE-GGA) of BaFeB3 after structural relaxation.

Geometry as POSCAR:
```
BaFeB3
1.0
4.755 0.000 0.000
0.000 4.755 0.000
0.000 0.000 4.755
B Ba Fe
3 1 1
Direct
0.000 0.500 0.000 B
0.000 0.000 0.500 B
0.500 0.000 0.000 B
0.000 0.000 0.000 Ba
0.500 0.500 0.500 Fe
```



#w wins, 3063 meV/atom ahead of the next structure.



#w
The following is a DFT calculation (PBE-GGA) of BaGaB3 after structural relaxation.

Geometry as POSCAR:
```
BaGaB3
1.0
-1.991 2.638 3.859
-4.292 0.630 -2.646
-1.852 -4.297 1.981
B Ba Ga
3 1 1
Direct
0.000 0.500 0.000 B
0.000 0.000 0.500 B
0.500 0.000 0.000 B
0.000 0.000 0.000 Ba
0.500 0.500 0.500 Ga
```



#x
The following is a DFT calculation (PBE-GGA) of BaGaB3 after structural relaxation.

Geometry as POSCAR:
```
BaGaB3
1.0
-2.555 1.779 -3.139
2.002 -2.500 -3.047
-3.001 -3.183 0.639
B Ba Ga
3 1 1
Direct
0.000 0.500 0.000 B
0.000 0.000 0.500 B
0.500 0.000 0.000 B
0.500 0.500 0.500 Ba
0.000 0.000 0.000 Ga
```



#x wins, 1456 meV/atom ahead of the next structure.



#w
The following is a DFT calculation (PBE-GGA) of BaGa3B after structural relaxation.

Geometry as POSCAR:
```
BaGa3B
1.0
-4.679 -0.734 -0.416
0.819 -4.515 -1.246
-0.203 -1.298 4.569
B Ba Ga
1 1 3
Direct
0.000 0.000 0.000 B
0.500 0.500 0.500 Ba
0.000 0.500 0.000 Ga
0.000 0.000 0.500 Ga
0.500 0.000 0.000 Ga
```



#x
The following is a DFT calculation (PBE-GGA) of BaGa3B after structural relaxation.

Geometry as POSCAR:
```
BaGa3B
1.0
6.045 0.000 0.000
0.000 6.045 0.000
0.000 0.000 6.045
B Ba Ga
1 1 3
Direct
0.500 0.500 0.500 B
0.000 0.000 0.000 Ba
0.000 0.500 0.000 Ga
0.000 0.000 0.500 Ga
0.500 0.000 0.000 Ga
```



#w wins, 1611 meV/atom ahead of the next structure.



#w
The following is a DFT calculation (PBE-GGA) of BaGeB3 after structural relaxation.

Geometry as POSCAR:
```
BaGeB3
1.0
4.381 0.000 0.000
0.000 4.381 0.000
0.000 0.000 4.381
Ge B Ba
1 3 1
Direct
0.000 0.000 0.000 Ge
0.000 0.500 0.000 B
0.000 0.000 0.500 B
0.500 0.000 0.000 B
0.500 0.500 0.500 Ba
```



#x
The following is a DFT calculation (PBE-GGA) of BaGeB3 after structural relaxation.

Geometry as POSCAR:
```
BaGeB3
1.0
-1.450 -4.607 0.966
1.440 0.529 4.681
-4.482 1.660 1.191
Ge B Ba
1 3 1
Direct
0.500 0.500 0.500 Ge
0.000 0.500 0.000 B
0.000 0.000 0.500 B
0.500 0.000 0.000 B
0.000 0.000 0.000 Ba
```



#w wins, 1538 meV/atom ahead of the next structure.



#w
The following is a DFT calculation (PBE-GGA) of BaHfGeB after structural relaxation.

Geometry as POSCAR:
```
BaHfGeB
1.0
-2.501 0.791 2.373
-1.390 -3.316 -2.996
4.476 -3.559 3.271
Ge B Hf Ba
1 1 1 1
Direct
0.447 0.923 0.965 Ge
0.151 0.174 0.122 B
0.854 0.564 0.138 Hf
0.893 0.189 0.590 Ba
```



#x
The following is a DFT calculation (PBE-GGA) of BaHfGeB after structural relaxation.

Geometry as POSCAR:
```
BaHfGeB
1.0
3.476 0.000 0.000
-1.738 3.010 0.000
0.000 0.000 8.629
Ge B Hf Ba
1 1 1 1
Direct
0.333 0.667 0.074 Ge
0.667 0.333 0.949 B
0.333 0.667 0.776 Hf
0.667 0.333 0.387 Ba
```



#y
The following is a DFT calculation (PBE-GGA) of BaHfGeB after structural relaxation.

Geometry as POSCAR:
```
BaHfGeB
1.0
-0.459 1.482 -3.083
-1.596 -2.845 -1.130
-5.427 3.402 4.368
Ge B Hf Ba
1 1 1 1
Direct
0.200 0.686 0.901 Ge
0.341 0.829 0.187 B
0.821 0.308 0.146 Hf
0.540 0.026 0.581 Ba
```



#z
The following is a DFT calculation (PBE-GGA) of BaHfGeB after structural relaxation.

Geometry as POSCAR:
```
BaHfGeB
1.0
-0.684 2.460 2.276
-0.990 -2.430 2.329
13.471 -0.849 4.838
Ge B Hf Ba
2 2 2 2
Direct
0.371 0.000 0.654 Ge
0.371 0.500 0.154 Ge
0.376 0.000 0.802 B
0.376 0.500 0.302 B
0.876 0.000 0.273 Hf
0.876 0.500 0.773 Hf
0.867 0.000 0.993 Ba
0.867 0.500 0.493 Ba
```



#y wins, 16 meV/atom ahead of the next structure.